[1]
Computed, not measured: crystalline Ba2LiAg6Au at its relaxed geometry at the PBE level of DFT.

## Properties
Raw total energy in Ry per atom: -0.2054

a = 6.9531 Å, b = 7.0289 Å, c = 7.0467 Å
α = 62.84°, β = 62.75°, γ = 63.10°
Closest atoms and distances in Å follow each position.
Space group P-1 (No. 2)
Symmetry-distinct sites (fractional):
1 Ba 0.1911 0.1928 0.1906 x2  1 Au 3.21, 5 Ag 3.42-3.60
2 Li 0.5000 0.5000 0.5000 x1  6 Ag 2.74-2.76
3 Ag 0.1693 0.6163 0.3231 x2  1 Li 2.74, 1 Au 2.80, 5 Ag 2.87-2.98
4 Ag 0.3259 0.1683 0.6149 x2  1 Li 2.74, 1 Au 2.79, 5 Ag 2.88-3.01
5 Ag 0.3817 0.6739 0.8322 x2  1 Li 2.76, 1 Au 2.79, 5 Ag 2.87-3.01
6 Au 0.0000 0.0000 0.0000 x1  6 Ag 2.79-2.80



[2]
Computed, not measured: crystalline Ba2LiAgAu6 at its relaxed geometry at the PBE level of DFT.

## Properties
Raw total energy in Ry per atom: -0.2339

a = 10.1077 Å, b = 10.1390 Å, c = 7.1120 Å
α = 90.00°, β = 134.46°, γ = 90.00°
Closest atoms and distances in Å follow each position.
Space group C2/m (No. 12)
Symmetry-distinct sites (fractional):
1 Ba 0.0000 0.2505 0.0000 x4  12 Au 3.56-3.61
2 Li 0.0000 0.0000 0.5000 x2  6 Au 2.37-2.38
3 Ag 0.0000 0.5000 0.5000 x2  6 Au 2.69-2.70
4 Au 0.0000 0.2344 0.5000 x4  1 Li 2.38
5 Au 0.2341 0.0000 0.4995 x4  1 Li 2.37
6 Au 0.2339 0.0000 0.9690 x4  1 Li 2.38



[3]
Computed, not measured: crystalline BaLiAg2Au at its relaxed geometry at the PBE level of DFT.

## Properties
Raw total energy in Ry per atom: -0.2053

a = 4.9785 Å, b = 4.9785 Å, c = 5.0302 Å
α = 90.00°, β = 90.00°, γ = 90.00°
Closest atoms and distances in Å follow each position.
Space group P4/mmm (No. 123)
Symmetry-distinct sites (fractional):
1 Ba 0.0000 0.0000 0.0000 x1  4 Au 3.52, 8 Ag 3.54
2 Li 0.5000 0.5000 0.5000 x1  4 Ag 2.49, 2 Au 2.52
3 Ag 0.0000 0.5000 0.5000 x2  2 Li 2.49
4 Au 0.5000 0.5000 0.0000 x1  2 Li 2.52



[4]
Computed, not measured: crystalline Ba2MgAgAu at its relaxed geometry at the PBE level of DFT.

## Properties
Raw total energy in Ry per atom: -0.1770
ΔE to the lowest computed polymorph in meV/atom: 315

a = 6.2991 Å, b = 6.2991 Å, c = 5.0990 Å
α = 90.00°, β = 90.00°, γ = 90.00°
Closest atoms and distances in Å follow each position.
Space group P4/mmm (No. 123)
Symmetry-distinct sites (fractional):
1 Ba 0.0000 0.5000 0.0000 x2  2 Ag 3.15
2 Mg 0.0000 0.0000 0.5000 x1  2 Ag 2.55
3 Ag 0.0000 0.0000 0.0000 x1  2 Mg 2.55
4 Au 0.5000 0.5000 0.5000 x1  8 Ba 4.05, 4 Mg 4.45



[5]
Computed, not measured: crystalline BaMgAgAu at its relaxed geometry at the PBE level of DFT.

## Properties
Raw total energy in Ry per atom: -0.2117

a = 8.3144 Å, b = 4.8127 Å, c = 6.3062 Å
α = 90.00°, β = 116.15°, γ = 90.00°
Closest atoms and distances in Å follow each position.
Space group Cm (No. 8)
Symmetry-distinct sites (fractional):
1 Ba 0.0000 0.0000 0.0000 x2  4 Ag 3.40-3.58, 4 Au 3.40-3.58
2 Mg 0.0067 0.5000 0.5202 x2  3 Au 2.81, 3 Ag 2.85-2.86
3 Ag 0.2998 0.5000 0.3998 x2  3 Mg 2.85-2.86, 3 Au 3.00
4 Au 0.2003 0.0000 0.6011 x2  3 Mg 2.81, 3 Ag 3.00



[6]
Computed, not measured: crystalline BaMgAg2Au at its relaxed geometry at the PBE level of DFT.

## Properties
Raw total energy in Ry per atom: -0.2107

a = 4.3835 Å, b = 4.4824 Å, c = 13.0196 Å
α = 90.00°, β = 90.00°, γ = 90.00°
Closest atoms and distances in Å follow each position.
Space group Imm2 (No. 44)
Symmetry-distinct sites (fractional):
1 Ba 0.0000 0.0000 0.0000 x2  4 Au 3.42, 4 Ag 3.48
2 Mg 0.0000 0.5000 0.7576 x2  2 Au 2.83, 6 Ag 2.90-3.13
3 Ag 0.0000 0.0000 0.6168 x2  2 Ag 2.84, 1 Au 2.89, 2 Mg 2.90
4 Ag 0.0000 0.5000 0.2556 x2  2 Ag 2.84, 2 Au 2.88, 4 Mg 3.13
5 Au 0.0000 0.0000 0.3951 x2  2 Mg 2.83, 3 Ag 2.88-2.89



| no. | formation energy (eV per atom) |
| --- | --- |
| 1 | -0.180 |
| 2 | -0.355 |
| 3 | -0.230 |
| 4 | -0.094 |
| 5 | -0.469 |
| 6 | -0.367 |